No. 1
Below is an optimized crystal structure of Np3Si6Pt20, with properties calculated at the GGA-PBE level.

Calculated values
Its volume is 477.23 Å³/cell. The density of states at the Fermi level comes out at 35.34 states/eV/cell. The value obtained for the formation energy (no corrections) is -616 meV/atom.

a = 8.7716 Å, b = 8.7716 Å, c = 8.7716 Å
α = 60.00°, β = 60.00°, γ = 60.00°
With the nearest neighbours (Å) after each atom.
Positions (direct):
Np (0.0000, 0.0000, 0.0000)  12 Pt 3.03, 6 Si 3.32
Np (0.2500, 0.2500, 0.2500)  4 Pt 2.88
Np (0.7500, 0.7500, 0.7500)  4 Pt 2.88
Si (0.2673, 0.2673, 0.7327)  8 Pt 2.44-2.50
Si (0.2673, 0.7327, 0.2673)  8 Pt 2.44-2.50
Si (0.2673, 0.7327, 0.7327)  8 Pt 2.44-2.50
Si (0.7327, 0.2673, 0.2673)  8 Pt 2.44-2.50
Si (0.7327, 0.2673, 0.7327)  8 Pt 2.44-2.50
Si (0.7327, 0.7327, 0.2673)  8 Pt 2.44-2.50
Pt (0.0000, 0.0000, 0.3454)  2 Si 2.44, 1 Pt 2.71
Pt (0.0000, 0.0000, 0.6546)  2 Si 2.44, 1 Pt 2.71
Pt (0.0000, 0.3454, 0.0000)  2 Si 2.44, 1 Pt 2.71
Pt (0.0000, 0.3454, 0.6546)  2 Si 2.44, 1 Pt 2.71
Pt (0.0000, 0.6546, 0.0000)  2 Si 2.44, 1 Pt 2.71
Pt (0.0000, 0.6546, 0.3454)  2 Si 2.44, 1 Pt 2.71
Pt (0.1515, 0.6162, 0.6162)  3 Si 2.50
Pt (0.3454, 0.0000, 0.0000)  2 Si 2.44, 1 Pt 2.71
Pt (0.3454, 0.0000, 0.6546)  2 Si 2.44, 1 Pt 2.71
Pt (0.3454, 0.6546, 0.0000)  2 Si 2.44, 1 Pt 2.71
Pt (0.3838, 0.3838, 0.3838)  3 Si 2.50
Pt (0.3838, 0.3838, 0.8485)  3 Si 2.50
Pt (0.3838, 0.8485, 0.3838)  3 Si 2.50
Pt (0.6162, 0.1515, 0.6162)  3 Si 2.50
Pt (0.6162, 0.6162, 0.1515)  3 Si 2.50
Pt (0.6162, 0.6162, 0.6162)  3 Si 2.50
Pt (0.6546, 0.0000, 0.0000)  2 Si 2.44, 1 Pt 2.71
Pt (0.6546, 0.0000, 0.3454)  2 Si 2.44, 1 Pt 2.71
Pt (0.6546, 0.3454, 0.0000)  2 Si 2.44, 1 Pt 2.71
Pt (0.8485, 0.3838, 0.3838)  3 Si 2.50

No. 2
Below is an optimized crystal structure of NpSi2Pt3, with properties calculated at the GGA-PBE level.

Calculated values
Its volume is 205.03 Å³/cell. The density of states at the Fermi level comes out at 15.17 states/eV/cell. The value obtained for the formation energy (no corrections) is -537 meV/atom.

a = 7.7238 Å, b = 7.7238 Å, c = 7.7238 Å
α = 151.14°, β = 110.44°, γ = 77.00°
With the nearest neighbours (Å) after each atom.
Positions (direct):
Np (0.1076, 0.1076, 0.0000)  1 Np 2.60, 4 Si 2.85
Np (0.8924, 0.8924, 0.0000)  1 Np 2.60, 4 Si 2.85
Si (0.1870, 0.5000, 0.6870)  4 Pt 2.38-2.44
Si (0.3250, 0.8250, 0.5000)  6 Pt 2.52
Si (0.6750, 0.1750, 0.5000)  6 Pt 2.52
Si (0.8130, 0.5000, 0.3130)  4 Pt 2.38-2.44
Pt (0.1367, 0.3214, 0.8153)  3 Si 2.44-2.52
Pt (0.3456, 0.0000, 0.3456)  4 Si 2.38-2.52
Pt (0.4939, 0.6786, 0.8153)  3 Si 2.44-2.52
Pt (0.5061, 0.3214, 0.1847)  3 Si 2.44-2.52
Pt (0.6544, 0.0000, 0.6544)  4 Si 2.38-2.52
Pt (0.8633, 0.6786, 0.1847)  3 Si 2.44-2.52

No. 3
Below is an optimized crystal structure of Sm2NpSi3Pt12, with properties calculated at the GGA-PBE level.

Calculated values
Its volume is 363.34 Å³/cell. The density of states at the Fermi level comes out at 13.63 states/eV/cell. The value obtained for the formation energy (no corrections) is -493 meV/atom.

a = 7.8090 Å, b = 7.8090 Å, c = 7.8090 Å
α = 63.58°, β = 63.58°, γ = 63.58°
With the nearest neighbours (Å) after each atom.
Positions (direct):
Sm (0.0981, 0.0981, 0.0981)  6 Pt 2.86-2.95
Sm (0.9019, 0.9019, 0.9019)  6 Pt 2.86-2.95
Np (0.5000, 0.5000, 0.5000)  6 Pt 2.67
Si (0.0000, 0.5000, 0.5000)  6 Pt 2.36-2.39
Si (0.5000, 0.0000, 0.5000)  6 Pt 2.36-2.39
Si (0.5000, 0.5000, 0.0000)  6 Pt 2.36-2.39
Pt (0.1012, 0.6419, 0.6419)  1 Si 2.39, 1 Np 2.67
Pt (0.1487, 0.1487, 0.5999)  2 Si 2.36
Pt (0.1487, 0.5999, 0.1487)  2 Si 2.36
Pt (0.3581, 0.3581, 0.8988)  1 Si 2.39, 1 Np 2.67
Pt (0.3581, 0.8988, 0.3581)  1 Si 2.39, 1 Np 2.67
Pt (0.4001, 0.8513, 0.8513)  2 Si 2.36
Pt (0.5999, 0.1487, 0.1487)  2 Si 2.36
Pt (0.6419, 0.1012, 0.6419)  1 Si 2.39, 1 Np 2.67
Pt (0.6419, 0.6419, 0.1012)  1 Si 2.39, 1 Np 2.67
Pt (0.8513, 0.4001, 0.8513)  2 Si 2.36
Pt (0.8513, 0.8513, 0.4001)  2 Si 2.36
Pt (0.8988, 0.3581, 0.3581)  1 Si 2.39, 1 Np 2.67

No. 4
Below is an optimized crystal structure of Np2Si3SnPt4, with properties calculated at the GGA-PBE level.

Calculated values
Its volume is 186.37 Å³/cell. The density of states at the Fermi level comes out at 23.47 states/eV/cell. The value obtained for the formation energy (no corrections) is -625 meV/atom.

a = 4.1823 Å, b = 4.1823 Å, c = 10.6548 Å
α = 90.00°, β = 90.00°, γ = 90.00°
With the nearest neighbours (Å) after each atom.
Positions (direct):
Np (0.0000, 0.5000, 0.2388)  8 Pt 3.18-3.29, 6 Si 3.19-3.48, 2 Sn 3.48
Np (0.5000, 0.0000, 0.7612)  8 Pt 3.18-3.29, 6 Si 3.19-3.48, 2 Sn 3.48
Si (0.0000, 0.5000, 0.8732)  5 Pt 2.36-2.49
Si (0.5000, 0.0000, 0.1268)  5 Pt 2.36-2.49
Si (0.5000, 0.5000, 0.5000)  4 Pt 2.64
Sn (0.0000, 0.0000, 0.5000)  4 Pt 2.64
Pt (0.0000, 0.0000, 0.0000)  4 Si 2.49
Pt (0.0000, 0.5000, 0.6513)  3 Si 2.36-2.64, 2 Sn 2.64
Pt (0.5000, 0.0000, 0.3487)  3 Si 2.36-2.64, 2 Sn 2.64
Pt (0.5000, 0.5000, 0.0000)  4 Si 2.49

No. 5
Below is an optimized crystal structure of Sr2NpSi3Pt4, with properties calculated at the GGA-PBE level.

Calculated values
Its volume is 204.28 Å³/cell. The density of states at the Fermi level comes out at 8.55 states/eV/cell. The value obtained for the formation energy (no corrections) is -778 meV/atom.

a = 4.3555 Å, b = 4.3555 Å, c = 10.7684 Å
α = 90.00°, β = 90.00°, γ = 90.00°
With the nearest neighbours (Å) after each atom.
Positions (direct):
Sr (0.0000, 0.5000, 0.2330)  8 Pt 3.28-3.32, 6 Si 3.34-3.61, 2 Np 3.61
Sr (0.5000, 0.0000, 0.7670)  8 Pt 3.28-3.32, 6 Si 3.34-3.61, 2 Np 3.61
Np (0.0000, 0.0000, 0.5000)  4 Pt 2.79, 4 Si 3.08
Si (0.0000, 0.5000, 0.8867)  5 Pt 2.42-2.50
Si (0.5000, 0.0000, 0.1133)  5 Pt 2.42-2.50
Si (0.5000, 0.5000, 0.5000)  4 Pt 2.79, 4 Np 3.08
Pt (0.0000, 0.0000, 0.0000)  4 Si 2.50
Pt (0.0000, 0.5000, 0.6617)  1 Si 2.42
Pt (0.5000, 0.0000, 0.3383)  1 Si 2.42
Pt (0.5000, 0.5000, 0.0000)  4 Si 2.50

No. 6
Below is an optimized crystal structure of Np2TaSi4Pt3, with properties calculated at the GGA-PBE level.

Calculated values
Its volume is 179.12 Å³/cell. The density of states at the Fermi level comes out at 19.92 states/eV/cell. The value obtained for the formation energy (no corrections) is -640 meV/atom.

a = 4.1918 Å, b = 4.1918 Å, c = 10.1943 Å
α = 90.00°, β = 90.00°, γ = 90.00°
With the nearest neighbours (Å) after each atom.
Positions (direct):
Np (0.0000, 0.5000, 0.2442)  8 Si 3.17-3.25, 6 Pt 3.23-3.35, 2 Ta 3.35
Np (0.5000, 0.0000, 0.7558)  8 Si 3.17-3.25, 6 Pt 3.23-3.35, 2 Ta 3.35
Ta (0.0000, 0.0000, 0.5000)  4 Si 2.57
Si (0.0000, 0.0000, 0.0000)  4 Pt 2.42
Si (0.0000, 0.5000, 0.6464)  3 Pt 2.40-2.57, 2 Ta 2.57
Si (0.5000, 0.0000, 0.3536)  3 Pt 2.40-2.57, 2 Ta 2.57
Si (0.5000, 0.5000, 0.0000)  4 Pt 2.42
Pt (0.0000, 0.5000, 0.8816)  5 Si 2.40-2.42
Pt (0.5000, 0.0000, 0.1184)  5 Si 2.40-2.42
Pt (0.5000, 0.5000, 0.5000)  4 Si 2.57

No. 7
Below is an optimized crystal structure of Np2TiSi3Pt4, with properties calculated at the GGA-PBE level.

Calculated values
Its volume is 178.82 Å³/cell. The density of states at the Fermi level comes out at 22.98 states/eV/cell. The value obtained for the formation energy (no corrections) is -734 meV/atom.

a = 4.0967 Å, b = 4.0967 Å, c = 10.6547 Å
α = 90.00°, β = 90.00°, γ = 90.00°
With the nearest neighbours (Å) after each atom.
Positions (direct):
Np (0.0000, 0.5000, 0.2437)  6 Si 3.13-3.41, 8 Pt 3.15-3.31, 2 Ti 3.41
Np (0.5000, 0.0000, 0.7563)  6 Si 3.13-3.41, 8 Pt 3.15-3.31, 2 Ti 3.41
Ti (0.0000, 0.0000, 0.5000)  4 Pt 2.54
Si (0.0000, 0.5000, 0.8663)  5 Pt 2.40-2.50
Si (0.5000, 0.0000, 0.1337)  5 Pt 2.40-2.50
Si (0.5000, 0.5000, 0.5000)  4 Pt 2.54
Pt (0.0000, 0.0000, 0.0000)  4 Si 2.50
Pt (0.0000, 0.5000, 0.6410)  3 Si 2.40-2.54, 2 Ti 2.54
Pt (0.5000, 0.0000, 0.3590)  3 Si 2.40-2.54, 2 Ti 2.54
Pt (0.5000, 0.5000, 0.0000)  4 Si 2.50

No. 8
Below is an optimized crystal structure of YNp2Si2Pt7, with properties calculated at the GGA-PBE level.

Calculated values
Its volume is 224.60 Å³/cell. The density of states at the Fermi level comes out at 21.41 states/eV/cell. The value obtained for the formation energy (no corrections) is -826 meV/atom.

a = 4.0444 Å, b = 4.0444 Å, c = 13.8771 Å
α = 95.89°, β = 95.89°, γ = 89.31°
With the nearest neighbours (Å) after each atom.
Positions (direct):
Y (0.0000, 0.0000, 0.0000)  12 Pt 2.84-3.00
Np (0.1144, 0.1144, 0.3596)  5 Pt 2.98-3.11, 4 Si 3.15-3.29
Np (0.8856, 0.8856, 0.6404)  5 Pt 2.98-3.11, 4 Si 3.15-3.29
Si (0.4090, 0.4090, 0.7453)  5 Pt 2.37-2.40
Si (0.5910, 0.5910, 0.2547)  5 Pt 2.37-2.40
Pt (0.0579, 0.5569, 0.1607)  2 Si 2.40
Pt (0.3691, 0.3691, 0.5733)  1 Si 2.37
Pt (0.4431, 0.9421, 0.8393)  2 Si 2.40
Pt (0.5000, 0.5000, 0.0000)  4 Y 2.84-2.88, 8 Pt 2.99-3.00
Pt (0.5569, 0.0579, 0.1607)  2 Si 2.40
Pt (0.6309, 0.6309, 0.4267)  1 Si 2.37
Pt (0.9421, 0.4431, 0.8393)  2 Si 2.40

No. 9
Below is an optimized crystal structure of Np2ZnSi3Pt4, with properties calculated at the GGA-PBE level.

Calculated values
Its volume is 177.98 Å³/cell. The density of states at the Fermi level comes out at 22.70 states/eV/cell. The value obtained for the formation energy (no corrections) is -684 meV/atom.

a = 4.1815 Å, b = 4.1815 Å, c = 10.1792 Å
α = 90.00°, β = 90.00°, γ = 90.00°
With the nearest neighbours (Å) after each atom.
Positions (direct):
Np (0.0000, 0.5000, 0.2460)  8 Pt 3.16-3.33, 6 Si 3.21-3.26, 2 Zn 3.26
Np (0.5000, 0.0000, 0.7540)  8 Pt 3.16-3.33, 6 Si 3.21-3.26, 2 Zn 3.26
Zn (0.5000, 0.5000, 0.0000)  4 Pt 2.51
Si (0.0000, 0.0000, 0.0000)  4 Pt 2.51
Si (0.0000, 0.5000, 0.6309)  5 Pt 2.36-2.48
Si (0.5000, 0.0000, 0.3691)  5 Pt 2.36-2.48
Pt (0.0000, 0.0000, 0.5000)  4 Si 2.48
Pt (0.0000, 0.5000, 0.8629)  3 Si 2.36-2.51, 2 Zn 2.51
Pt (0.5000, 0.0000, 0.1371)  3 Si 2.36-2.51, 2 Zn 2.51
Pt (0.5000, 0.5000, 0.5000)  4 Si 2.48

No. 10
Below is an optimized crystal structure of NpZnSi2Pt4, with properties calculated at the GGA-PBE level.

Calculated values
Its volume is 134.59 Å³/cell. The density of states at the Fermi level comes out at 12.51 states/eV/cell. The value obtained for the formation energy (no corrections) is -528 meV/atom.

a = 9.2106 Å, b = 9.2106 Å, c = 9.2106 Å
α = 26.24°, β = 26.24°, γ = 26.24°
With the nearest neighbours (Å) after each atom.
Positions (direct):
Np (0.0000, 0.0000, 0.0000)  6 Pt 3.04, 6 Si 3.30
Zn (0.5000, 0.5000, 0.5000)  8 Pt 2.59-2.60
Si (0.2492, 0.2492, 0.2492)  6 Pt 2.45-2.72
Si (0.7508, 0.7508, 0.7508)  6 Pt 2.45-2.72
Pt (0.1310, 0.1310, 0.1310)  3 Zn 2.59, 3 Si 2.72
Pt (0.4023, 0.4023, 0.4023)  3 Si 2.45, 1 Zn 2.60
Pt (0.5977, 0.5977, 0.5977)  3 Si 2.45, 1 Zn 2.60
Pt (0.8690, 0.8690, 0.8690)  3 Zn 2.59, 3 Si 2.72